i | Below is crystalline KTmSO at its relaxed geometry, with properties calculated at the GGA-PBE level.

Lattice parameters (Å, degrees): 8.0586 9.0111 5.4031 90.00 90.00 90.00
Closest atoms and distances in Å follow each position.
Space group Pca2_1 (No. 29)
Unique sites:
K1 0.1190 0.0947 0.0000 (multiplicity 4)  4 O 2.68-2.84
Tm1 0.0631 0.6456 0.0049 (multiplicity 4)  1 O 1.96
S1 0.1015 0.6147 0.5038 (multiplicity 4)  4 Tm 2.69-2.74
O1 0.0491 0.1615 0.5036 (multiplicity 4)  1 Tm 1.96

ii | Below is crystalline KTmSO at its relaxed geometry, with properties calculated at the GGA-PBE level.

Lattice parameters (Å, degrees): 5.6171 5.6179 11.0762 90.00 104.41 90.00
Closest atoms and distances in Å follow each position.
Space group P2_1 (No. 4)
Unique sites:
K1 0.0556 0.9998 0.1041 (multiplicity 2)  4 S 3.04-3.05
K2 0.4436 0.0000 0.8965 (multiplicity 2)  5 S 3.05-3.41
Tm1 0.0465 0.2499 0.5953 (multiplicity 2)  4 O 2.23-2.24
Tm2 0.4534 0.2497 0.4046 (multiplicity 2)  4 O 2.23-2.24
S1 0.1116 0.5002 0.2150 (multiplicity 2)  2 Tm 2.84-2.85, 4 K 3.05, 1 O 3.06
S2 0.3897 0.5003 0.7857 (multiplicity 2)  2 Tm 2.85, 4 K 3.04-3.05, 1 O 3.06
O1 0.2498 0.9996 0.4998 (multiplicity 2)  4 Tm 2.23-2.24
O2 0.2502 0.4994 0.5006 (multiplicity 2)  4 Tm 2.23-2.24

Of them, ii has the highest stability.

i | Below is crystalline KTmSO at its relaxed geometry, with properties calculated at the GGA-PBE level.

Lattice parameters (Å, degrees): 3.9984 3.9984 9.7188 90.00 90.00 90.00
Closest atoms and distances in Å follow each position.
Space group P4/nmm (No. 129, origin choice 2)
Unique sites:
K1 0.2500 0.7500 0.0000 (multiplicity 2)  4 K 2.83, 4 S 2.98
Tm1 0.2500 0.2500 0.3977 (multiplicity 2)  4 O 2.23
S1 0.2500 0.2500 0.7731 (multiplicity 2)  4 K 2.98, 4 Tm 3.28, 4 O 3.32
O1 0.2500 0.7500 0.5000 (multiplicity 2)  4 Tm 2.23

ii | Below is crystalline KTmSO at its relaxed geometry, with properties calculated at the GGA-PBE level.

Lattice parameters (Å, degrees): 4.3036 7.9780 6.3567 90.00 90.00 90.00
Closest atoms and distances in Å follow each position.
Space group Pmc2_1 (No. 26)
Unique sites:
K1 0.0000 0.1941 0.0000 (multiplicity 2)  2 O 2.84, 2 S 3.11-3.14
Tm1 0.5000 0.3722 0.4329 (multiplicity 2)  2 O 2.07-2.08
S1 0.0000 0.1997 0.5115 (multiplicity 2)  2 Tm 2.60
O1 0.5000 0.4093 0.1092 (multiplicity 2)  2 Tm 2.07-2.08

Of them, ii has the highest stability.

i | Below is crystalline KTmSO at its relaxed geometry, with properties calculated at the GGA-PBE level.

Lattice parameters (Å, degrees): 3.6579 3.6579 20.6073 90.00 90.00 120.00
Closest atoms and distances in Å follow each position.
Space group R3m (No. 160, hexagonal axes)
Unique sites:
K1 0.0000 0.0000 0.0000 (multiplicity 3)  3 O 2.98, 3 S 3.02
Tm1 0.0000 0.0000 0.5172 (multiplicity 3)  3 O 2.33
S1 0.0000 0.0000 0.7712 (multiplicity 3)  3 Tm 2.67
O1 0.0000 0.0000 0.2311 (multiplicity 3)  3 Tm 2.33

ii | Below is crystalline KTmSO at its relaxed geometry, with properties calculated at the GGA-PBE level.

Lattice parameters (Å, degrees): 7.5177 7.2053 6.3309 90.00 104.70 90.00
Closest atoms and distances in Å follow each position.
Space group P2_1/c (No. 14)
Unique sites:
K1 0.0832 0.2463 0.0124 (multiplicity 4)  2 O 2.77-2.93
Tm1 0.4752 0.6264 0.2712 (multiplicity 4)  3 O 2.21-2.24
S1 0.2532 0.5926 0.8452 (multiplicity 4)  3 Tm 2.74-2.82
O1 0.3924 0.1469 0.8763 (multiplicity 4)  3 Tm 2.21-2.24

Of them, ii has the highest stability.

i | Below is crystalline KTmSeO at its relaxed geometry, with properties calculated at the GGA-PBE level.

Lattice parameters (Å, degrees): 7.7819 7.2965 6.4419 90.00 101.78 90.00
Closest atoms and distances in Å follow each position.
Space group P2_1/c (No. 14)
Unique sites:
K1 0.0906 0.2203 0.4872 (multiplicity 4)  1 O 2.73
Tm1 0.4764 0.6283 0.7772 (multiplicity 4)  3 O 2.20-2.24
Se1 0.2458 0.5918 0.3587 (multiplicity 4)  3 Tm 2.84-2.97, 1 K 3.15
O1 0.4069 0.1489 0.3827 (multiplicity 4)  3 Tm 2.20-2.24

ii | Below is crystalline KTmSeO at its relaxed geometry, with properties calculated at the GGA-PBE level.

Lattice parameters (Å, degrees): 4.4704 8.1450 6.5060 90.00 90.00 90.00
Closest atoms and distances in Å follow each position.
Space group Pmc2_1 (No. 26)
Unique sites:
K1 0.0000 0.2031 0.0000 (multiplicity 2)  2 O 2.89, 1 Se 3.20
Tm1 0.5000 0.3804 0.4207 (multiplicity 2)  2 O 2.07-2.08
Se1 0.0000 0.2017 0.5088 (multiplicity 2)  2 Tm 2.73
O1 0.5000 0.4125 0.1041 (multiplicity 2)  2 Tm 2.07-2.08

Of them, i has the highest stability.

i | Below is crystalline KTmSeO at its relaxed geometry, with properties calculated at the GGA-PBE level.

Lattice parameters (Å, degrees): 3.7212 3.7212 21.2442 90.00 90.00 120.00
Closest atoms and distances in Å follow each position.
Space group R3m (No. 160, hexagonal axes)
Unique sites:
K1 0.0000 0.0000 0.0000 (multiplicity 3)  3 O 3.02, 3 Se 3.11
Tm1 0.0000 0.0000 0.4779 (multiplicity 3)  3 O 2.35
Se1 0.0000 0.0000 0.2276 (multiplicity 3)  3 Tm 2.78, 3 K 3.11
O1 0.0000 0.0000 0.7669 (multiplicity 3)  3 Tm 2.35

ii | Below is crystalline KTmSeO at its relaxed geometry, with properties calculated at the GGA-PBE level.

Lattice parameters (Å, degrees): 4.0678 4.0678 10.0492 90.00 90.00 90.00
Closest atoms and distances in Å follow each position.
Space group P4/nmm (No. 129, origin choice 2)
Unique sites:
K1 0.2500 0.7500 0.0000 (multiplicity 2)  4 K 2.88, 4 Se 3.09
Tm1 0.2500 0.2500 0.4047 (multiplicity 2)  4 O 2.25
Se1 0.2500 0.2500 0.7680 (multiplicity 2)  4 K 3.09, 4 Tm 3.36, 4 O 3.38
O1 0.2500 0.7500 0.5000 (multiplicity 2)  4 Tm 2.25

iii | Below is crystalline KTmSeO at its relaxed geometry, with properties calculated at the GGA-PBE level.

Lattice parameters (Å, degrees): 5.7305 5.7293 11.4352 90.00 104.08 90.00
Closest atoms and distances in Å follow each position.
Space group C2 (No. 5)
Unique sites:
K1 0.1998 0.0000 0.3951 (multiplicity 4)  4 Se 3.12-3.14
Tm1 0.2059 0.2605 0.9112 (multiplicity 4)  4 O 2.25-2.26
Se1 0.1458 0.4997 0.2816 (multiplicity 4)  2 Tm 2.94-2.95, 4 K 3.12-3.14, 1 O 3.13
O1 0.0000 0.0113 0.0000 (multiplicity 2)  4 Tm 2.25-2.26
O2 0.0000 0.5119 0.0000 (multiplicity 2)  4 Tm 2.25

Of them, iii has the highest stability.

i | Below is crystalline K2Sm2O5 at its relaxed geometry, with properties calculated at the GGA-PBE level.

Lattice parameters (Å, degrees): 4.3540 4.3540 7.3221 90.00 90.00 90.00
Closest atoms and distances in Å follow each position.
Space group P4/mmm (No. 123)
Unique sites:
K1 0.0000 0.0000 0.1896 (multiplicity 2)  5 O 2.18-2.27
Sm1 0.5000 0.5000 0.0000 (multiplicity 1)  8 O 2.62
Sm2 0.5000 0.5000 0.5000 (multiplicity 1)  12 O 3.08-3.10
O1 0.0000 0.0000 0.5000 (multiplicity 1)  2 K 2.27
O2 0.0000 0.5000 0.1995 (multiplicity 4)  2 K 2.18

ii | Below is crystalline K2Sm2O5 at its relaxed geometry, with properties calculated at the GGA-PBE level.

Lattice parameters (Å, degrees): 4.3780 4.3780 9.0312 90.00 90.00 90.00
Closest atoms and distances in Å follow each position.
Space group P4/mmm (No. 123)
Unique sites:
K1 0.0000 0.0000 0.0000 (multiplicity 1)  4 O 3.10
K2 0.0000 0.0000 0.5000 (multiplicity 1)  8 O 2.82
Sm1 0.5000 0.5000 0.2412 (multiplicity 2)  5 O 2.18-2.26
O1 0.0000 0.5000 0.3026 (multiplicity 4)  2 Sm 2.26
O2 0.5000 0.5000 0.0000 (multiplicity 1)  2 Sm 2.18

Of them, ii has the highest stability.

i | Below is crystalline K2Ta2O5 at its relaxed geometry, with properties calculated at the GGA-PBE level.

Lattice parameters (Å, degrees): 4.0009 4.0009 7.8036 90.00 90.00 90.00
Closest atoms and distances in Å follow each position.
Space group P4/mmm (No. 123)
Unique sites:
K1 0.0000 0.0000 0.0000 (multiplicity 1)  8 O 2.70
K2 0.0000 0.0000 0.5000 (multiplicity 1)  12 O 2.83-2.89
Ta1 0.5000 0.5000 0.2438 (multiplicity 2)  5 O 2.00
O1 0.0000 0.5000 0.2330 (multiplicity 4)  2 Ta 2.00
O2 0.5000 0.5000 0.5000 (multiplicity 1)  2 Ta 2.00

ii | Below is crystalline K2Ta2O5 at its relaxed geometry, with properties calculated at the GGA-PBE level.

Lattice parameters (Å, degrees): 3.2930 3.2930 12.1248 90.00 90.00 90.00
Closest atoms and distances in Å follow each position.
Space group P4/mmm (No. 123)
Unique sites:
K1 0.0000 0.0000 0.2414 (multiplicity 2)  4 O 2.52
Ta1 0.5000 0.5000 0.0000 (multiplicity 1)  4 O 2.33
Ta2 0.5000 0.5000 0.5000 (multiplicity 1)  8 O 2.06
O1 0.0000 0.0000 0.0000 (multiplicity 1)  4 Ta 2.33
O2 0.0000 0.5000 0.3983 (multiplicity 4)  2 Ta 2.06

Of them, i has the highest stability.

i | Below is crystalline K2Tc2O5 at its relaxed geometry, with properties calculated at the GGA-PBE level.

Lattice parameters (Å, degrees): 3.9472 3.9472 8.9804 90.00 90.00 90.00
Closest atoms and distances in Å follow each position.
Space group P4/mmm (No. 123)
Unique sites:
K1 0.0000 0.0000 0.2449 (multiplicity 2)  5 O 2.29-2.45
Tc1 0.5000 0.5000 0.0000 (multiplicity 1)  8 O 2.11
Tc2 0.5000 0.5000 0.5000 (multiplicity 1)  4 O 2.79
O1 0.0000 0.0000 0.5000 (multiplicity 1)  2 K 2.29
O2 0.0000 0.5000 0.0839 (multiplicity 4)  1 O 1.51

ii | Below is crystalline K2Tc2O5 at its relaxed geometry, with properties calculated at the GGA-PBE level.

Lattice parameters (Å, degrees): 3.8631 3.8631 8.1524 90.00 90.00 90.00
Closest atoms and distances in Å follow each position.
Space group P4/mmm (No. 123)
Unique sites:
K1 0.0000 0.0000 0.0000 (multiplicity 1)  12 O 2.73-2.89
K2 0.0000 0.0000 0.5000 (multiplicity 1)  8 O 2.73
Tc1 0.5000 0.5000 0.2433 (multiplicity 2)  5 O 1.94-1.98
O1 0.0000 0.5000 0.2630 (multiplicity 4)  2 Tc 1.94
O2 0.5000 0.5000 0.0000 (multiplicity 1)  2 Tc 1.98

Of them, ii has the highest stability.

i | Below is crystalline K2TcO3 at its relaxed geometry, with properties calculated at the GGA-PBE level.

Lattice parameters (Å, degrees): 6.3822 6.3822 7.2339 90.00 90.00 120.00
Closest atoms and distances in Å follow each position.
Space group P321 (No. 150)
Unique sites:
K1 0.0000 0.0000 0.0000 (multiplicity 1)  6 O 2.71
K2 0.0000 0.0000 0.5000 (multiplicity 1)  6 O 2.71
K3 0.3333 0.6667 0.2524 (multiplicity 2)  3 O 2.73
Tc1 0.3333 0.6667 0.7507 (multiplicity 2)  3 O 1.78
O1 0.1043 0.7493 0.7497 (multiplicity 6)  1 Tc 1.78

ii | Below is crystalline K2TcO3 at its relaxed geometry, with properties calculated at the GGA-PBE level.

Lattice parameters (Å, degrees): 9.9006 6.9381 5.8666 90.00 90.00 90.00
Closest atoms and distances in Å follow each position.
Space group Cmcm (No. 63)
Unique sites:
K1 0.1706 0.1498 0.2500 (multiplicity 8)  5 O 2.65-2.88
Tc1 0.0000 0.4093 0.7500 (multiplicity 4)  5 O 1.84-2.01
O1 0.0000 0.1439 0.7500 (multiplicity 4)  1 Tc 1.84
O2 0.1240 0.5000 0.0000 (multiplicity 8)  2 Tc 2.01

Of them, i has the highest stability.

i | Below is crystalline K2Zn2O3 at its relaxed geometry, with properties calculated at the GGA-PBE level.

Lattice parameters (Å, degrees): 8.2288 8.2288 8.2288 90.00 90.00 90.00
Closest atoms and distances in Å follow each position.
Space group I2_13 (No. 199)
Unique sites:
K1 0.0245 0.4755 0.5245 (multiplicity 8)  3 O 2.58
Zn1 0.1893 0.1893 0.1893 (multiplicity 8)  3 O 1.90
O1 0.0000 0.2500 0.3079 (multiplicity 12)  2 Zn 1.90

ii | Below is crystalline K2Zn2O3 at its relaxed geometry, with properties calculated at the GGA-PBE level.

Lattice parameters (Å, degrees): 5.8841 6.2515 6.2953 90.00 114.58 90.00
Closest atoms and distances in Å follow each position.
Space group P2_1/c (No. 14)
Unique sites:
K1 0.1861 0.1364 0.4275 (multiplicity 4)  4 O 2.59-2.71
Zn1 0.3311 0.6147 0.5714 (multiplicity 4)  4 O 1.95-2.10
O1 0.0000 0.0000 0.0000 (multiplicity 2)  2 Zn 1.95
O2 0.4095 0.6352 0.2883 (multiplicity 4)  3 Zn 2.00-2.10

Of them, ii has the highest stability.